(1)
# Ga2TcSn (GGA-PBE, optimized geometry)
data_Ga2TcSn
_chemical_formula_sum 'Ga6 Tc3 Sn3'
_cell_length_a 4.244
_cell_length_b 4.244
_cell_length_c 15.297
_cell_angle_alpha 90.00
_cell_angle_beta 90.00
_cell_angle_gamma 120.00
_space_group_name_H-M_alt 'P 1'
_space_group_IT_number 1
_space_group_name_Hall 'P 1'
loop_
_atom_site_label
_atom_site_type_symbol
_atom_site_fract_x
_atom_site_fract_y
_atom_site_fract_z
_atom_site_occupancy
Ga1 Ga 0.000 0.000 0.219 1
Ga2 Ga 0.000 0.000 0.781 1
Ga3 Ga 0.333 0.667 0.448 1
Ga4 Ga 0.333 0.667 0.886 1
Ga5 Ga 0.667 0.333 0.114 1
Ga6 Ga 0.667 0.333 0.552 1
Tc1 Tc 0.000 0.000 0.500 1
Tc2 Tc 0.333 0.667 0.167 1
Tc3 Tc 0.667 0.333 0.833 1
Sn1 Sn 0.000 0.000 0.000 1
Sn2 Sn 0.333 0.667 0.667 1
Sn3 Sn 0.667 0.333 0.333 1
# - energy of formation from the pure elements (eV/atom) = 0.32
# - crystal system = trigonal

***

(2)
# GaTcSn6 (GGA-PBE, optimized geometry)
data_GaTcSn6
_chemical_formula_sum 'Ga1 Tc1 Sn6'
_cell_length_a 6.079
_cell_length_b 6.079
_cell_length_c 6.079
_cell_angle_alpha 99.67
_cell_angle_beta 99.67
_cell_angle_gamma 99.67
_space_group_name_H-M_alt 'P 1'
_space_group_IT_number 1
_space_group_name_Hall 'P 1'
loop_
_atom_site_label
_atom_site_type_symbol
_atom_site_fract_x
_atom_site_fract_y
_atom_site_fract_z
_atom_site_occupancy
Ga1 Ga 0.000 0.000 0.000 1
Tc1 Tc 0.500 0.500 0.500 1
Sn1 Sn 0.195 0.195 0.611 1
Sn2 Sn 0.195 0.611 0.195 1
Sn3 Sn 0.389 0.805 0.805 1
Sn4 Sn 0.611 0.195 0.195 1
Sn5 Sn 0.805 0.389 0.805 1
Sn6 Sn 0.805 0.805 0.389 1
# - energy of formation from the pure elements (eV/atom) = 0.17
# - crystal system = trigonal

***

(3)
# GaTc2Sn2 (GGA-PBE, optimized geometry)
data_GaTc2Sn2
_chemical_formula_sum 'Ga2 Tc4 Sn4'
_cell_length_a 3.956
_cell_length_b 3.956
_cell_length_c 12.814
_cell_angle_alpha 90.00
_cell_angle_beta 90.00
_cell_angle_gamma 90.00
_space_group_name_H-M_alt 'P 1'
_space_group_IT_number 1
_space_group_name_Hall 'P 1'
loop_
_atom_site_label
_atom_site_type_symbol
_atom_site_fract_x
_atom_site_fract_y
_atom_site_fract_z
_atom_site_occupancy
Ga1 Ga 0.000 0.000 0.000 1
Ga2 Ga 0.500 0.500 0.500 1
Tc1 Tc 0.000 0.000 0.403 1
Tc2 Tc 0.000 0.000 0.597 1
Tc3 Tc 0.500 0.500 0.097 1
Tc4 Tc 0.500 0.500 0.903 1
Sn1 Sn 0.000 0.500 0.250 1
Sn2 Sn 0.000 0.500 0.750 1
Sn3 Sn 0.500 0.000 0.250 1
Sn4 Sn 0.500 0.000 0.750 1
# - energy above the lowest structure with this stoichiometry (kJ per mole of atoms) = 46.2
# - energy of formation from the pure elements (eV/atom) = 0.53
# - crystal system = tetragonal

***

(4)
# Ga2TcSn (GGA-PBE, optimized geometry)
data_Ga2TcSn
_chemical_formula_sum 'Ga8 Tc4 Sn4'
_cell_length_a 4.081
_cell_length_b 4.081
_cell_length_c 18.593
_cell_angle_alpha 90.00
_cell_angle_beta 90.00
_cell_angle_gamma 90.00
_space_group_name_H-M_alt 'P 1'
_space_group_IT_number 1
_space_group_name_Hall 'P 1'
loop_
_atom_site_label
_atom_site_type_symbol
_atom_site_fract_x
_atom_site_fract_y
_atom_site_fract_z
_atom_site_occupancy
Ga1 Ga 0.199 0.250 0.125 1
Ga2 Ga 0.250 0.699 0.375 1
Ga3 Ga 0.250 0.801 0.875 1
Ga4 Ga 0.301 0.250 0.625 1
Ga5 Ga 0.699 0.750 0.625 1
Ga6 Ga 0.750 0.199 0.875 1
Ga7 Ga 0.750 0.301 0.375 1
Ga8 Ga 0.801 0.750 0.125 1
Tc1 Tc 0.000 0.000 0.000 1
Tc2 Tc 0.000 0.500 0.250 1
Tc3 Tc 0.500 0.000 0.750 1
Tc4 Tc 0.500 0.500 0.500 1
Sn1 Sn 0.000 0.000 0.500 1
Sn2 Sn 0.000 0.500 0.750 1
Sn3 Sn 0.500 0.000 0.250 1
Sn4 Sn 0.500 0.500 0.000 1
# - energy of formation from the pure elements (eV/atom) = 0.29
# - crystal system = tetragonal

***

(5)
# TlGaTcSn2 (GGA-PBE, optimized geometry)
data_TlGaTcSn2
_chemical_formula_sum 'Tl1 Ga1 Tc1 Sn2'
_cell_length_a 5.226
_cell_length_b 5.226
_cell_length_c 4.927
_cell_angle_alpha 90.00
_cell_angle_beta 90.00
_cell_angle_gamma 90.00
_space_group_name_H-M_alt 'P 1'
_space_group_IT_number 1
_space_group_name_Hall 'P 1'
loop_
_atom_site_label
_atom_site_type_symbol
_atom_site_fract_x
_atom_site_fract_y
_atom_site_fract_z
_atom_site_occupancy
Tl1 Tl 0.000 0.000 0.000 1
Ga1 Ga 0.500 0.500 0.000 1
Tc1 Tc 0.500 0.500 0.500 1
Sn1 Sn 0.000 0.500 0.500 1
Sn2 Sn 0.500 0.000 0.500 1
# - energy of formation from the pure elements (eV/atom) = 0.11
# - crystal system = tetragonal

***

(6)
# TlGa2TcSn (GGA-PBE, optimized geometry)
data_TlGa2TcSn
_chemical_formula_sum 'Tl1 Ga2 Tc1 Sn1'
_cell_length_a 4.937
_cell_length_b 4.937
_cell_length_c 5.181
_cell_angle_alpha 90.00
_cell_angle_beta 90.00
_cell_angle_gamma 90.00
_space_group_name_H-M_alt 'P 1'
_space_group_IT_number 1
_space_group_name_Hall 'P 1'
loop_
_atom_site_label
_atom_site_type_symbol
_atom_site_fract_x
_atom_site_fract_y
_atom_site_fract_z
_atom_site_occupancy
Tl1 Tl 0.000 0.000 0.000 1
Ga1 Ga 0.000 0.500 0.500 1
Ga2 Ga 0.500 0.000 0.500 1
Tc1 Tc 0.500 0.500 0.500 1
Sn1 Sn 0.500 0.500 0.000 1
# - energy of formation from the pure elements (eV/atom) = 0.04
# - crystal system = tetragonal

***

Which of these has the lowest energy of formation from the pure elements?
TlGa2TcSn

***

The lowest energy of formation from the pure elements belongs to which entry?
TlGa2TcSn